i:
{"formula": "Sr2Ga3Cu2", "functional": "PBE", "state": "relaxed", "lattice": [[4.1708, 0.0000, 0.0000], [2.0854, 5.7053, 0.0465], [2.0854, 1.4906, 6.4110]], "species": ["Sr", "Sr", "Ga", "Ga", "Ga", "Cu", "Cu"], "frac_coords": [[0.1336, 0.4944, 0.2384], [0.8664, 0.5056, 0.7616], [0.5000, 0.0000, 0.0000], [0.3499, 0.8613, 0.4388], [0.6501, 0.1387, 0.5612], [0.1254, 0.9472, 0.8021], [0.8746, 0.0528, 0.1979]]}

=====

ii:
{"formula": "Sr2Ga3Cu2", "functional": "PBE", "state": "relaxed", "lattice": [[4.2680, 0.0000, 0.0000], [-2.1340, 5.6347, -1.3253], [0.0000, 0.0550, 6.8955]], "species": ["Sr", "Sr", "Ga", "Ga", "Ga", "Cu", "Cu"], "frac_coords": [[0.8220, 0.6440, 0.2708], [0.1780, 0.3560, 0.7292], [0.5000, 0.0000, 0.0000], [0.5680, 0.1360, 0.3771], [0.4320, 0.8640, 0.6229], [0.9225, 0.8450, 0.8214], [0.0775, 0.1550, 0.1786]]}

=====

Relative energies with respect to the most stable structure, expressed in meV/atom: i 0; ii 9.

=====

i:
{"formula": "Sr2Ga5Cu3", "functional": "PBE", "state": "relaxed", "lattice": [[-2.8027, -2.2884, 2.4992], [3.3622, -1.4737, 2.4211], [-0.9968, 8.1523, 6.3467]], "species": ["Sr", "Sr", "Ga", "Ga", "Ga", "Ga", "Ga", "Cu", "Cu", "Cu"], "frac_coords": [[0.5000, 0.0000, 0.2600], [0.0000, 0.5000, 0.7400], [0.5000, 0.5000, 0.0000], [0.0000, 0.0000, 0.0000], [0.5000, 0.0000, 0.8507], [0.0000, 0.5000, 0.1493], [0.5000, 0.5000, 0.5000], [0.5000, 0.0000, 0.6125], [0.0000, 0.5000, 0.3875], [0.0000, 0.0000, 0.5000]]}

=====

ii:
{"formula": "Sr2Ga5Cu3", "functional": "PBE", "state": "relaxed", "lattice": [[5.7657, 0.0000, 2.1813], [2.4520, 7.9558, 2.2295], [0.0349, -0.0241, 8.6184]], "species": ["Sr", "Sr", "Sr", "Sr", "Ga", "Ga", "Ga", "Ga", "Ga", "Ga", "Ga", "Ga", "Ga", "Ga", "Cu", "Cu", "Cu", "Cu", "Cu", "Cu"], "frac_coords": [[0.1281, 0.6211, 0.1227], [0.6281, 0.1227, 0.6211], [0.8719, 0.3789, 0.8773], [0.3719, 0.8773, 0.3789], [0.3835, 0.2513, 0.9818], [0.8835, 0.9818, 0.2513], [0.6165, 0.7487, 0.0182], [0.1165, 0.0182, 0.7487], [0.5013, 0.7487, 0.7487], [0.4987, 0.2513, 0.2513], [0.7500, 0.5000, 0.5000], [0.2500, 0.5000, 0.5000], [0.9987, 0.2513, 0.2513], [0.0013, 0.7487, 0.7487], [0.3758, 0.4984, 0.7499], [0.8758, 0.7499, 0.4984], [0.6242, 0.5016, 0.2501], [0.1242, 0.2501, 0.5016], [0.2500, 0.0000, 0.0000], [0.7500, 0.0000, 0.0000]]}

=====

Relative energies with respect to the most stable structure, expressed in meV/atom: i 40; ii 0.

=====

i:
{"formula": "SrZn2GaCu", "functional": "PBE", "state": "relaxed", "lattice": [[4.7708, 0.0000, 0.0000], [0.0000, 4.7708, 0.0000], [0.0000, 0.0000, 4.7313]], "species": ["Sr", "Zn", "Zn", "Cu", "Ga"], "frac_coords": [[0.5000, 0.5000, 0.5000], [0.0000, 0.5000, 0.0000], [0.5000, 0.0000, 0.0000], [0.0000, 0.0000, 0.0000], [0.0000, 0.0000, 0.5000]]}

=====

ii:
{"formula": "SrZn2GaCu", "functional": "PBE", "state": "relaxed", "lattice": [[-1.4969, 0.6627, -4.0080], [1.2868, -3.9914, -1.1405], [-4.6632, -0.2894, 4.0320]], "species": ["Sr", "Zn", "Zn", "Ga", "Cu"], "frac_coords": [[0.4423, 0.4423, 0.8846], [0.6967, 0.1967, 0.3935], [0.0559, 0.0559, 0.1118], [0.1984, 0.6984, 0.3969], [0.8187, 0.8187, 0.6375]]}

=====

Relative energies with respect to the most stable structure, expressed in meV/atom: i 135; ii 0.

=====

i:
{"formula": "TaGaCu3", "functional": "PBE", "state": "relaxed", "lattice": [[-2.0618, -2.2434, 3.0645], [-0.9242, -3.0858, -2.8808], [3.6838, -2.0298, 0.9925]], "species": ["Cu", "Cu", "Cu", "Ga", "Ta"], "frac_coords": [[0.0000, 0.5000, 0.0000], [0.0000, 0.0000, 0.5000], [0.5000, 0.0000, 0.0000], [0.0000, 0.0000, 0.0000], [0.5000, 0.5000, 0.5000]]}

=====

ii:
{"formula": "TaGaCu3", "functional": "PBE", "state": "relaxed", "lattice": [[4.8491, 0.0000, 0.0000], [0.0000, 4.8491, 0.0000], [0.0000, 0.0000, 4.8491]], "species": ["Cu", "Cu", "Cu", "Ga", "Ta"], "frac_coords": [[0.0000, 0.5000, 0.0000], [0.0000, 0.0000, 0.5000], [0.5000, 0.0000, 0.0000], [0.5000, 0.5000, 0.5000], [0.0000, 0.0000, 0.0000]]}

=====

Relative energies with respect to the most stable structure, expressed in meV/atom: i 0; ii 535.

=====

i:
{"formula": "TaGa3Cu", "functional": "PBE", "state": "relaxed", "lattice": [[5.0299, 0.0000, 0.0000], [0.0000, 5.0299, 0.0000], [0.0000, 0.0000, 5.0299]], "species": ["Cu", "Ga", "Ga", "Ga", "Ta"], "frac_coords": [[0.5000, 0.5000, 0.5000], [0.0000, 0.5000, 0.0000], [0.0000, 0.0000, 0.5000], [0.5000, 0.0000, 0.0000], [0.0000, 0.0000, 0.0000]]}

=====

ii:
{"formula": "TaGa3Cu", "functional": "PBE", "state": "relaxed", "lattice": [[-2.7856, 1.5524, -3.1993], [-3.4705, -2.0731, 2.0157], [-0.7755, 3.7010, 2.4710]], "species": ["Cu", "Ga", "Ga", "Ga", "Ta"], "frac_coords": [[0.0000, 0.0000, 0.0000], [0.0000, 0.5000, 0.0000], [0.0000, 0.0000, 0.5000], [0.5000, 0.0000, 0.0000], [0.5000, 0.5000, 0.5000]]}

=====

Relative energies with respect to the most stable structure, expressed in meV/atom: i 177; ii 0.

=====

i:
{"formula": "TaGa2Cu2", "functional": "PBE", "state": "relaxed", "lattice": [[-4.6200, 5.5166, 0.3182], [-4.3314, -3.8729, 4.2566], [1.3441, 0.9946, 2.2727]], "species": ["Cu", "Cu", "Cu", "Cu", "Ga", "Ga", "Ga", "Ga", "Ta", "Ta"], "frac_coords": [[0.1589, 0.6589, 0.5000], [0.6589, 0.8411, 0.5000], [0.8411, 0.3411, 0.5000], [0.3411, 0.1589, 0.5000], [0.3599, 0.8599, 0.0000], [0.8599, 0.6401, 0.0000], [0.6401, 0.1401, 0.0000], [0.1401, 0.3599, 0.0000], [0.0000, 0.0000, 0.0000], [0.5000, 0.5000, 0.0000]]}

=====

ii:
{"formula": "TaGa2Cu2", "functional": "PBE", "state": "relaxed", "lattice": [[7.1761, 0.0000, 0.0000], [0.0000, 7.1761, 0.0000], [0.0000, 0.0000, 2.8281]], "species": ["Cu", "Cu", "Cu", "Cu", "Ga", "Ga", "Ga", "Ga", "Ta", "Ta"], "frac_coords": [[0.3785, 0.8785, 0.0000], [0.8785, 0.6215, 0.0000], [0.6215, 0.1215, 0.0000], [0.1215, 0.3785, 0.0000], [0.1776, 0.6776, 0.5000], [0.6776, 0.8224, 0.5000], [0.8224, 0.3224, 0.5000], [0.3224, 0.1776, 0.5000], [0.0000, 0.0000, 0.0000], [0.5000, 0.5000, 0.0000]]}

=====

Relative energies with respect to the most stable structure, expressed in meV/atom: i 11; ii 0.

=====

i:
{"formula": "Tb2Ga3Cu5", "functional": "PBE", "state": "relaxed", "lattice": [[-2.8273, 0.0105, -5.0051], [-7.5511, -3.1570, 0.9494], [-3.6034, 7.3020, -1.2587]], "species": ["Tb", "Tb", "Tb", "Tb", "Ga", "Ga", "Ga", "Ga", "Ga", "Ga", "Cu", "Cu", "Cu", "Cu", "Cu", "Cu", "Cu", "Cu", "Cu", "Cu"], "frac_coords": [[0.2620, 0.8637, 0.6122], [0.2380, 0.3878, 0.1363], [0.7380, 0.1363, 0.3878], [0.7620, 0.6122, 0.8637], [0.1246, 0.2441, 0.5082], [0.3754, 0.4918, 0.7559], [0.8754, 0.7559, 0.4918], [0.6246, 0.5082, 0.2441], [0.2500, 0.0002, 0.9998], [0.7500, 0.9998, 0.0002], [0.3533, 0.0274, 0.2649], [0.1467, 0.7351, 0.9726], [0.6467, 0.9726, 0.7351], [0.8533, 0.2649, 0.0274], [0.2500, 0.2350, 0.7650], [0.7500, 0.7650, 0.2350], [0.2500, 0.5006, 0.4994], [0.7500, 0.4994, 0.5006], [0.2500, 0.7646, 0.2354], [0.7500, 0.2354, 0.7646]]}

=====

ii:
{"formula": "Tb2Ga3Cu5", "functional": "PBE", "state": "relaxed", "lattice": [[4.0213, 0.0000, 0.0000], [0.0000, 4.0213, 0.0000], [0.0000, 0.0000, 10.5855]], "species": ["Tb", "Tb", "Ga", "Ga", "Ga", "Cu", "Cu", "Cu", "Cu", "Cu"], "frac_coords": [[0.5000, 0.0000, 0.2385], [0.0000, 0.5000, 0.7615], [0.5000, 0.0000, 0.6443], [0.0000, 0.5000, 0.3557], [0.0000, 0.0000, 0.5000], [0.5000, 0.5000, 0.0000], [0.0000, 0.0000, 0.0000], [0.5000, 0.0000, 0.8684], [0.0000, 0.5000, 0.1316], [0.5000, 0.5000, 0.5000]]}

=====

Relative energies with respect to the most stable structure, expressed in meV/atom: i 0; ii 58.

=====

i:
{"formula": "Tb4GaCu2", "functional": "PBE", "state": "relaxed", "lattice": [[4.7242, 0.0000, 1.4760], [2.1316, 4.2160, 1.4760], [-0.0464, -0.0285, 8.4472]], "species": ["Tb", "Tb", "Tb", "Tb", "Cu", "Cu", "Ga"], "frac_coords": [[0.8719, 0.8719, 0.3843], [0.1281, 0.1281, 0.6157], [0.6192, 0.6192, 0.1423], [0.3808, 0.3808, 0.8577], [0.7458, 0.7458, 0.7626], [0.2542, 0.2542, 0.2374], [0.0000, 0.0000, 0.0000]]}

=====

ii:
{"formula": "Tb4GaCu2", "functional": "PBE", "state": "relaxed", "lattice": [[6.7565, -0.5738, -0.0997], [-1.0482, 6.8994, 0.1112], [-2.7552, -3.2717, 7.3572]], "species": ["Tb", "Tb", "Tb", "Tb", "Tb", "Tb", "Tb", "Tb", "Ga", "Ga", "Cu", "Cu", "Cu", "Cu"], "frac_coords": [[0.0003, 0.2534, 0.4032], [0.3971, 0.4768, 0.2576], [0.8807, 0.6609, 0.6757], [0.7257, 0.1294, 0.7033], [0.3898, 0.9690, 0.2423], [0.2725, 0.1762, 0.7970], [0.4550, 0.7352, 0.8241], [0.8473, 0.6010, 0.0969], [0.2071, 0.7784, 0.4763], [0.9809, 0.0521, 0.0238], [0.4692, 0.3492, 0.5750], [0.8267, 0.8583, 0.4237], [0.6537, 0.1857, 0.0768], [0.1440, 0.5245, 0.9243]]}

=====

Relative energies with respect to the most stable structure, expressed in meV/atom: i 26; ii 0.